[1]
The following is a DFT calculation (PBE-GGA) of crystalline Li2ScCl at its relaxed geometry.

## Properties
As for the polymorph energy (0 for the lowest one): 0.0 meV/atom. The density of states at the Fermi level is 9.79 states/eV per cell.

The structure in CIF format:
```
data_Li2ScCl
_symmetry_space_group_name_H-M 'R -3 m'
_symmetry_Int_Tables_number 166
_symmetry_space_group_name_Hall '-R 3 2"'
_cell_length_a 3.3357
_cell_length_b 3.3357
_cell_length_c 25.8646
_cell_angle_alpha 90.00
_cell_angle_beta 90.00
_cell_angle_gamma 120.00
loop_
_atom_site_label
_atom_site_fract_x
_atom_site_fract_y
_atom_site_fract_z
Li1 0.0000 0.0000 0.2264
Sc1 0.0000 0.0000 0.0000
Cl1 0.0000 0.0000 0.5000
```

[2]
The following is a DFT calculation (PBE-GGA) of crystalline CaTe2RuO at its relaxed geometry.

## Properties
The density of states at the Fermi level is 9.89 states/eV per cell. The total energy is -2.97 eV per atom.

The structure in CIF format:
```
data_CaTe2RuO
_symmetry_space_group_name_H-M 'P 4/m m m'
_symmetry_Int_Tables_number 123
_symmetry_space_group_name_Hall '-P 4 2'
_cell_length_a 5.6770
_cell_length_b 5.6770
_cell_length_c 5.0349
_cell_angle_alpha 90.00
_cell_angle_beta 90.00
_cell_angle_gamma 90.00
loop_
_atom_site_label
_atom_site_fract_x
_atom_site_fract_y
_atom_site_fract_z
Ca1 0.0000 0.0000 0.0000
Te1 0.0000 0.5000 0.0000
Ru1 0.0000 0.0000 0.5000
O1 0.5000 0.5000 0.5000
```

[3]
The following is a DFT calculation (PBE-GGA) of crystalline MgCuAu5 at its relaxed geometry.

## Properties
As for the polymorph energy (0 for the lowest one): 466.5 meV/atom. The density of states at the Fermi level is 7.14 states/eV per cell. The energy of formation comes out at 31.2 kJ/mol of atoms.

The structure in CIF format:
```
data_MgCuAu5
_symmetry_space_group_name_H-M 'I m m 2'
_symmetry_Int_Tables_number 44
_symmetry_space_group_name_Hall 'I 2 -2'
_cell_length_a 7.5063
_cell_length_b 9.5243
_cell_length_c 5.0512
_cell_angle_alpha 90.00
_cell_angle_beta 90.00
_cell_angle_gamma 90.00
loop_
_atom_site_label
_atom_site_fract_x
_atom_site_fract_y
_atom_site_fract_z
Mg1 0.0000 0.0000 0.0000
Cu1 0.0000 0.5000 0.7400
Au1 0.0000 0.0000 0.4918
Au2 0.0000 0.2752 0.4508
Au3 0.1810 0.5000 0.2235
```

[4]
The following is a DFT calculation (PBE-GGA) of crystalline LaPrNdTe3 at its relaxed geometry.

## Properties
The density of states at the Fermi level is 7.61 states/eV per cell. The total energy is -5.32 eV per atom.

The structure in CIF format:
```
data_LaPrNdTe3
_symmetry_space_group_name_H-M 'P 1 21/m 1'
_symmetry_Int_Tables_number 11
_symmetry_space_group_name_Hall '-P 2yb'
_cell_length_a 8.8169
_cell_length_b 4.4246
_cell_length_c 11.1626
_cell_angle_alpha 90.00
_cell_angle_beta 105.22
_cell_angle_gamma 90.00
loop_
_atom_site_label
_atom_site_fract_x
_atom_site_fract_y
_atom_site_fract_z
La1 0.1871 0.2500 0.2134
Pr1 0.1588 0.2500 0.6204
Nd1 0.3408 0.7500 0.9037
Te1 0.0864 0.2500 0.8936
Te2 0.2219 0.7500 0.4385
Te3 0.4701 0.7500 0.2013
```

[5]
The following is a DFT calculation (PBE-GGA) of crystalline ScZnRh2 at its relaxed geometry.

## Properties
The density of states at the Fermi level is 13.78 states/eV per cell. The energy of formation comes out at -10.0 kJ/mol of atoms.

The structure in CIF format:
```
data_ScZnRh2
_symmetry_space_group_name_H-M 'R 3 m'
_symmetry_Int_Tables_number 160
_symmetry_space_group_name_Hall 'R 3 -2"'
_cell_length_a 2.9563
_cell_length_b 2.9563
_cell_length_c 25.8946
_cell_angle_alpha 90.00
_cell_angle_beta 90.00
_cell_angle_gamma 120.00
loop_
_atom_site_label
_atom_site_fract_x
_atom_site_fract_y
_atom_site_fract_z
Sc1 0.0000 0.0000 0.0000
Zn1 0.0000 0.0000 0.2401
Rh1 0.0000 0.0000 0.4968
Rh2 0.0000 0.0000 0.7433
```

[6]
The following is a DFT calculation (PBE-GGA) of crystalline Tb5InBi4 at its relaxed geometry.

## Properties
The density of states at the Fermi level is 12.30 states/eV per cell. The energy of formation comes out at -68.0 kJ/mol of atoms.

The structure in CIF format:
```
data_Tb5InBi4
_symmetry_space_group_name_H-M 'I 4'
_symmetry_Int_Tables_number 79
_symmetry_space_group_name_Hall 'I 4'
_cell_length_a 10.0215
_cell_length_b 10.0215
_cell_length_c 6.3226
_cell_angle_alpha 90.00
_cell_angle_beta 90.00
_cell_angle_gamma 90.00
loop_
_atom_site_label
_atom_site_fract_x
_atom_site_fract_y
_atom_site_fract_z
Tb1 0.0000 0.0000 0.0000
Tb2 0.1024 0.3026 0.5009
In1 0.0000 0.0000 0.5000
Bi1 0.0993 0.2998 0.0010
```

[7]
The following is a DFT calculation (PBE-GGA) of crystalline UAlReMo at its relaxed geometry.

## Properties
The density of states at the Fermi level is 29.48 states/eV per cell. The energy of formation comes out at 5.1 kJ/mol of atoms.

The structure in CIF format:
```
data_UAlReMo
_symmetry_space_group_name_H-M 'F -4 3 m'
_symmetry_Int_Tables_number 216
_symmetry_space_group_name_Hall 'F -4 2 3'
_cell_length_a 6.5059
_cell_length_b 6.5059
_cell_length_c 6.5059
_cell_angle_alpha 90.00
_cell_angle_beta 90.00
_cell_angle_gamma 90.00
loop_
_atom_site_label
_atom_site_fract_x
_atom_site_fract_y
_atom_site_fract_z
U1 0.0000 0.0000 0.0000
Al1 0.0000 0.0000 0.5000
Re1 0.2500 0.2500 0.2500
Mo1 0.2500 0.2500 0.7500
```

[8]
The following is a DFT calculation (PBE-GGA) of crystalline NbBiPb2 at its relaxed geometry.

## Properties
The density of states at the Fermi level is 14.15 states/eV per cell. The energy of formation comes out at 54.6 kJ/mol of atoms.

The structure in CIF format:
```
data_NbBiPb2
_symmetry_space_group_name_H-M 'I -4 2 d'
_symmetry_Int_Tables_number 122
_symmetry_space_group_name_Hall 'I -4 2bw'
_cell_length_a 4.4045
_cell_length_b 4.4045
_cell_length_c 22.6073
_cell_angle_alpha 90.00
_cell_angle_beta 90.00
_cell_angle_gamma 90.00
loop_
_atom_site_label
_atom_site_fract_x
_atom_site_fract_y
_atom_site_fract_z
Nb1 0.0000 0.0000 0.0000
Bi1 0.0000 0.0000 0.5000
Pb1 0.2416 0.2500 0.1250
```

[9]
The following is a DFT calculation (PBE-GGA) of crystalline K2Pa2AgTe6 at its relaxed geometry.

## Properties
The density of states at the Fermi level is 17.51 states/eV per cell. The total energy is -4.71 eV per atom.

The structure in CIF format:
```
data_K2Pa2AgTe6
_symmetry_space_group_name_H-M 'C 1 2/m 1'
_symmetry_Int_Tables_number 12
_symmetry_space_group_name_Hall '-C 2y'
_cell_length_a 7.5865
_cell_length_b 13.2520
_cell_length_c 8.7981
_cell_angle_alpha 90.00
_cell_angle_beta 106.18
_cell_angle_gamma 90.00
loop_
_atom_site_label
_atom_site_fract_x
_atom_site_fract_y
_atom_site_fract_z
K1 0.0000 0.1626 0.0000
Pa1 0.0000 0.3340 0.5000
Ag1 0.0000 0.0000 0.5000
Te1 0.2220 0.5000 0.7064
Te2 0.2381 0.1711 0.7054
```

[10]
The following is a DFT calculation (PBE-GGA) of crystalline CeSmPu4 at its relaxed geometry.

## Properties
The density of states at the Fermi level is 106.10 states/eV per cell. The energy of formation comes out at 24.2 kJ/mol of atoms.

The structure in CIF format:
```
data_CeSmPu4
_symmetry_space_group_name_H-M 'F -4 3 m'
_symmetry_Int_Tables_number 216
_symmetry_space_group_name_Hall 'F -4 2 3'
_cell_length_a 8.7097
_cell_length_b 8.7097
_cell_length_c 8.7097
_cell_angle_alpha 90.00
_cell_angle_beta 90.00
_cell_angle_gamma 90.00
loop_
_atom_site_label
_atom_site_fract_x
_atom_site_fract_y
_atom_site_fract_z
Ce1 0.0000 0.0000 0.0000
Sm1 0.2500 0.2500 0.7500
Pu1 0.1260 0.1260 0.3740
```

[11]
The following is a DFT calculation (PBE-GGA) of crystalline MgOs3 at its relaxed geometry.

## Properties
The density of states at the Fermi level is 10.00 states/eV per cell. The energy of formation comes out at 21.4 kJ/mol of atoms.

The structure in CIF format:
```
data_MgOs3
_symmetry_space_group_name_H-M 'R -3 m'
_symmetry_Int_Tables_number 166
_symmetry_space_group_name_Hall '-R 3 2"'
_cell_length_a 2.7659
_cell_length_b 2.7659
_cell_length_c 27.1634
_cell_angle_alpha 90.00
_cell_angle_beta 90.00
_cell_angle_gamma 120.00
loop_
_atom_site_label
_atom_site_fract_x
_atom_site_fract_y
_atom_site_fract_z
Mg1 0.0000 0.0000 0.0000
Os1 0.0000 0.0000 0.2463
Os2 0.0000 0.0000 0.5000
```

[12]
The following is a DFT calculation (PBE-GGA) of crystalline HfNbRePd at its relaxed geometry.

## Properties
The density of states at the Fermi level is 12.56 states/eV per cell. The energy of formation comes out at -32.4 kJ/mol of atoms.

The structure in CIF format:
```
data_HfNbRePd
_symmetry_space_group_name_H-M 'F -4 3 m'
_symmetry_Int_Tables_number 216
_symmetry_space_group_name_Hall 'F -4 2 3'
_cell_length_a 6.5158
_cell_length_b 6.5158
_cell_length_c 6.5158
_cell_angle_alpha 90.00
_cell_angle_beta 90.00
_cell_angle_gamma 90.00
loop_
_atom_site_label
_atom_site_fract_x
_atom_site_fract_y
_atom_site_fract_z
Hf1 0.0000 0.0000 0.0000
Nb1 0.0000 0.0000 0.5000
Re1 0.2500 0.2500 0.7500
Pd1 0.2500 0.2500 0.2500
```